(1)
PuAl2Hg | GGA-PBE | relaxed

Properties
V (Å³ per cell): 85.4
Calculated formation energy (meV/atom): -101.6

a = 4.496 Å, b = 4.496 Å, c = 4.225 Å
α = 90.00°, β = 90.00°, γ = 90.00°
Space group P4/mmm (No. 123)
Unique sites:
Pu (0.000, 0.000, 0.000) [1 per cell]
Al (0.000, 0.500, 0.500) [2 per cell]
Hg (0.500, 0.500, 0.000) [1 per cell]

***

(2)
PuAlHg | GGA-PBE | relaxed

Properties
V (Å³ per cell): 132.4
Calculated formation energy (meV/atom): -94.0

a = 3.177 Å, b = 3.177 Å, c = 13.117 Å
α = 90.00°, β = 90.00°, γ = 90.00°
Space group I4mm (No. 107)
Unique sites:
Pu (0.000, 0.000, 0.000) [2 per cell]
Al (0.000, 0.000, 0.334) [2 per cell]
Hg (0.000, 0.000, 0.685) [2 per cell]

***

(3)
Pu2AlHg8 | GGA-PBE | relaxed

Properties
V (Å³ per cell): 277.6
Calculated formation energy (meV/atom): -73.0

a = 4.810 Å, b = 4.810 Å, c = 12.000 Å
α = 90.00°, β = 90.00°, γ = 90.00°
Space group P4/mmm (No. 123)
Unique sites:
Pu (0.000, 0.000, 0.191) [2 per cell]
Al (0.000, 0.000, 0.500) [1 per cell]
Hg (0.000, 0.500, 0.000) [2 per cell]
Hg (0.000, 0.500, 0.370) [4 per cell]
Hg (0.500, 0.500, 0.190) [2 per cell]

***

(4)
SmPuAlHg | GGA-PBE | relaxed

Properties
V (Å³ per cell): 415.4
Calculated formation energy (meV/atom): -199.7

a = 7.461 Å, b = 7.461 Å, c = 7.461 Å
α = 90.00°, β = 90.00°, γ = 90.00°
Space group F-43m (No. 216)
Unique sites:
Sm (0.000, 0.000, 0.000) [4 per cell]
Pu (0.000, 0.000, 0.500) [4 per cell]
Al (0.250, 0.250, 0.250) [4 per cell]
Hg (0.250, 0.250, 0.750) [4 per cell]

***

(5)
PuAlSnHg | GGA-PBE | relaxed

Properties
V (Å³ per cell): 380.4
Calculated formation energy (meV/atom): -62.1

a = 7.245 Å, b = 7.245 Å, c = 7.245 Å
α = 90.00°, β = 90.00°, γ = 90.00°
Space group F-43m (No. 216)
Unique sites:
Pu (0.000, 0.000, 0.000) [4 per cell]
Al (0.000, 0.000, 0.500) [4 per cell]
Sn (0.250, 0.250, 0.750) [4 per cell]
Hg (0.250, 0.250, 0.250) [4 per cell]

***

(6)
TbPuAlHg | GGA-PBE | relaxed

Properties
V (Å³ per cell): 405.6
Calculated formation energy (meV/atom): -208.7

a = 7.402 Å, b = 7.402 Å, c = 7.402 Å
α = 90.00°, β = 90.00°, γ = 90.00°
Space group F-43m (No. 216)
Unique sites:
Tb (0.000, 0.000, 0.000) [4 per cell]
Pu (0.000, 0.000, 0.500) [4 per cell]
Al (0.250, 0.250, 0.250) [4 per cell]
Hg (0.250, 0.250, 0.750) [4 per cell]

***

(7)
PuThAlHg | GGA-PBE | relaxed

Properties
V (Å³ per cell): 420.7
Calculated formation energy (meV/atom): -96.6

a = 7.493 Å, b = 7.493 Å, c = 7.493 Å
α = 90.00°, β = 90.00°, γ = 90.00°
Space group F-43m (No. 216)
Unique sites:
Pu (0.000, 0.000, 0.000) [4 per cell]
Th (0.000, 0.000, 0.500) [4 per cell]
Al (0.250, 0.250, 0.750) [4 per cell]
Hg (0.250, 0.250, 0.250) [4 per cell]

***

(8)
PuAlTlHg | GGA-PBE | relaxed

Properties
V (Å³ per cell): 386.9
Calculated formation energy (meV/atom): 12.1

a = 7.287 Å, b = 7.287 Å, c = 7.287 Å
α = 90.00°, β = 90.00°, γ = 90.00°
Space group F-43m (No. 216)
Unique sites:
Pu (0.000, 0.000, 0.000) [4 per cell]
Al (0.000, 0.000, 0.500) [4 per cell]
Tl (0.250, 0.250, 0.750) [4 per cell]
Hg (0.250, 0.250, 0.250) [4 per cell]

***

(9)
YPuAlHg | GGA-PBE | relaxed

Properties
V (Å³ per cell): 404.7
Calculated formation energy (meV/atom): -219.0

a = 7.397 Å, b = 7.397 Å, c = 7.397 Å
α = 90.00°, β = 90.00°, γ = 90.00°
Space group F-43m (No. 216)
Unique sites:
Y (0.000, 0.000, 0.000) [4 per cell]
Pu (0.000, 0.000, 0.500) [4 per cell]
Al (0.250, 0.250, 0.750) [4 per cell]
Hg (0.250, 0.250, 0.250) [4 per cell]

***

(10)
RbAl3Hg | GGA-PBE | relaxed

Properties
V (Å³ per cell): 263.1
Calculated formation energy (meV/atom): 1540.5

a = 6.408 Å, b = 6.408 Å, c = 6.408 Å
α = 90.00°, β = 90.00°, γ = 90.00°
Space group Pm-3m (No. 221)
Unique sites:
Rb (0.000, 0.000, 0.000) [1 per cell]
Al (0.000, 0.000, 0.500) [3 per cell]
Hg (0.500, 0.500, 0.500) [1 per cell]

***

(11)
Rb2Al2Hg | GGA-PBE | relaxed

Properties
V (Å³ per cell): 333.7
Calculated formation energy (meV/atom): 206.6

a = 7.388 Å, b = 7.388 Å, c = 6.114 Å
α = 90.00°, β = 90.00°, γ = 90.00°
Space group P4/mbm (No. 127)
Unique sites:
Rb (0.184, 0.316, 0.000) [4 per cell]
Al (0.127, 0.627, 0.500) [4 per cell]
Hg (0.000, 0.000, 0.500) [2 per cell]

***

(12)
Rb2Al2Hg | GGA-PBE | relaxed

Properties
V (Å³ per cell): 365.4
Calculated formation energy (meV/atom): 154.5

a = 3.916 Å, b = 3.916 Å, c = 23.824 Å
α = 90.00°, β = 90.00°, γ = 90.00°
Space group I4/mmm (No. 139)
Unique sites:
Rb (0.000, 0.000, 0.111) [4 per cell]
Al (0.000, 0.500, 0.250) [4 per cell]
Hg (0.000, 0.000, 0.500) [2 per cell]